Density functional theory data (PBE-GGA) for an optimized crystal structure of La2Dy6Zn.

* DOS at the Fermi energy: 1.284 states/eV per atom
* crystal system: orthorhombic
* ΔH_f (0 K): 0.034 eV per atom

Cell and atoms, written as CIF:
```
data_La2Dy6Zn
_cell_length_a 9.727
_cell_length_b 10.258
_cell_length_c 5.490
_cell_angle_alpha 90.00
_cell_angle_beta 90.00
_cell_angle_gamma 90.00
_space_group_name_H-M_alt 'P n n m'
_space_group_IT_number 58
loop_
_space_group_symop_operation_xyz
'x,y,z'
'-x,-y,-z'
'-x,-y,z'
'x,y,-z'
'x+1/2,-y+1/2,-z+1/2'
'-x+1/2,y+1/2,z+1/2'
'-x+1/2,y+1/2,-z+1/2'
'x+1/2,-y+1/2,z+1/2'
loop_
_atom_site_label
_atom_site_fract_x
_atom_site_fract_y
_atom_site_fract_z
La1 0.182 0.242 0.000
Dy1 0.009 0.188 0.500
Dy2 0.138 0.600 0.000
Dy3 0.194 0.920 0.000
Zn1 0.000 0.500 0.500
```